Record 1
# MoIr2Cl (PBE, optimized geometry)
# Formation energy without anion corrections: 1.0 eV per formula unit
# V: 190 Å³/cell
# Electronic total energy: -88.348 eV per cell
data_MoIr2Cl
_space_group_name_H-M_alt 'R -3 m'
_space_group_IT_number 166
_space_group_name_Hall '-R 3 2"'
_cell_length_a 2.8216
_cell_length_b 2.8216
_cell_length_c 27.6266
_cell_angle_alpha 90.00
_cell_angle_beta 90.00
_cell_angle_gamma 120.00
loop_
_atom_site_label
_atom_site_fract_x
_atom_site_fract_y
_atom_site_fract_z
_atom_site_occupancy
Mo1 0.0000 0.0000 0.0000 1
Ir1 0.0000 0.0000 0.2562 1
Cl1 0.0000 0.0000 0.5000 1



Record 2
# CeThSb2 (PBE, optimized geometry)
# Formation energy without anion corrections: -4.0 eV per formula unit
# V: 388 Å³/cell
# Electronic total energy: -76.711 eV per cell
data_CeThSb2
_space_group_name_H-M_alt 'R -3 m'
_space_group_IT_number 166
_space_group_name_Hall '-R 3 2"'
_cell_length_a 4.4984
_cell_length_b 4.4984
_cell_length_c 22.1526
_cell_angle_alpha 90.00
_cell_angle_beta 90.00
_cell_angle_gamma 120.00
loop_
_atom_site_label
_atom_site_fract_x
_atom_site_fract_y
_atom_site_fract_z
_atom_site_occupancy
Ce1 0.0000 0.0000 0.0000 1
Th1 0.0000 0.0000 0.5000 1
Sb1 0.0000 0.0000 0.2503 1



Record 3
# Gd12Co6Pb (PBE, optimized geometry)
# Energy relative to the elements: -244 meV per atom
# V: 936 Å³/cell
# Electronic total energy: -439.910 eV per cell
data_Gd12Co6Pb
_space_group_name_H-M_alt 'I m -3'
_space_group_IT_number 204
_space_group_name_Hall '-I 2 2 3'
_cell_length_a 9.7824
_cell_length_b 9.7824
_cell_length_c 9.7824
_cell_angle_alpha 90.00
_cell_angle_beta 90.00
_cell_angle_gamma 90.00
loop_
_atom_site_label
_atom_site_fract_x
_atom_site_fract_y
_atom_site_fract_z
_atom_site_occupancy
Gd1 0.0000 0.1944 0.3049 1
Co1 0.0000 0.3869 0.5000 1
Pb1 0.0000 0.0000 0.0000 1



Record 4
# NdDy4Y3S8 (PBE, optimized geometry)
# Formation energy without anion corrections: -31.9 eV per formula unit
# V: 1032 Å³/cell
# Electronic total energy: -322.355 eV per cell
data_NdDy4Y3S8
_space_group_name_H-M_alt 'R -3 m'
_space_group_IT_number 166
_space_group_name_Hall '-R 3 2"'
_cell_length_a 7.8644
_cell_length_b 7.8644
_cell_length_c 19.2739
_cell_angle_alpha 90.00
_cell_angle_beta 90.00
_cell_angle_gamma 120.00
loop_
_atom_site_label
_atom_site_fract_x
_atom_site_fract_y
_atom_site_fract_z
_atom_site_occupancy
Nd1 0.0000 0.0000 0.0000 1
Dy1 0.0000 0.0000 0.5000 1
Dy2 0.0000 0.5000 0.5000 1
Y1 0.0000 0.5000 0.0000 1
S1 0.0000 0.0000 0.2495 1
S2 0.0063 0.5031 0.2480 1